*one*
TiZn2S (PBE, optimized geometry); density of states at the Fermi level = 3.1 states/eV/cell; total magnetic moment = 1.8 μB per formula unit
1.0
-0.118 2.734 3.689
-3.981 0.776 2.157
-0.743 -1.792 4.164
Zn S Ti
2 1 1
Direct
0.250 0.250 0.250
0.750 0.750 0.750
0.000 0.000 0.000
0.500 0.500 0.500

***

*two*
TiZn2S (PBE, optimized geometry); density of states at the Fermi level = 6.9 states/eV/cell; total magnetic moment = 0.0 μB per formula unit
1.0
7.423 0.000 0.000
0.000 7.423 0.000
3.712 3.712 2.411
Zn S Ti
4 2 2
Direct
0.591 0.125 0.250
0.159 0.625 0.250
0.375 0.409 0.750
0.875 0.841 0.750
0.500 0.500 0.000
0.250 0.750 0.500
0.000 0.000 0.000
0.750 0.250 0.500

***

Quick one: most stable of them? *two*

***

*one*
ZrTi2S2 (PBE, optimized geometry); density of states at the Fermi level = 7.4 states/eV/cell; total magnetic moment = 0.0 μB per formula unit
1.0
6.079 0.280 0.553
-0.989 6.004 0.553
-1.860 -2.296 4.320
Zr Ti S
2 4 4
Direct
0.113 0.887 0.250
0.887 0.113 0.750
0.785 0.591 0.522
0.409 0.215 0.978
0.591 0.785 0.022
0.215 0.409 0.478
0.396 0.604 0.250
0.809 0.191 0.250
0.191 0.809 0.750
0.604 0.396 0.750

***

*two*
ZrTi2S2 (PBE, optimized geometry); density of states at the Fermi level = 3.4 states/eV/cell; total magnetic moment = 0.0 μB per formula unit
1.0
-1.853 -3.284 -5.818
5.582 -4.079 0.524
-1.723 -2.133 1.753
S Zr Ti
4 2 4
Direct
0.350 0.850 0.000
0.850 0.650 0.000
0.650 0.150 0.000
0.150 0.350 0.000
0.000 0.000 0.000
0.500 0.500 0.000
0.150 0.650 0.500
0.650 0.850 0.500
0.850 0.350 0.500
0.350 0.150 0.500

***

Quick one: most stable of them? *two*

***

*one*
ZrTiS3 (PBE, optimized geometry); density of states at the Fermi level = 3.1 states/eV/cell; total magnetic moment = 1.3 μB per formula unit
1.0
4.620 0.000 0.000
0.000 4.620 0.000
0.000 0.000 4.620
S Zr Ti
3 1 1
Direct
0.000 0.500 0.000
0.000 0.000 0.500
0.500 0.000 0.000
0.500 0.500 0.500
0.000 0.000 0.000

***

*two*
ZrTiS3 (PBE, optimized geometry); density of states at the Fermi level = 6.1 states/eV/cell; total magnetic moment = 0.7 μB per formula unit
1.0
6.100 0.000 0.000
0.000 6.142 0.000
0.000 -3.071 5.319
Zr Ti S
2 2 6
Direct
0.000 0.000 0.000
0.500 0.000 0.000
0.500 0.667 0.333
0.000 0.667 0.333
0.750 0.348 0.340
0.750 0.992 0.652
0.750 0.660 0.008
0.250 0.660 0.652
0.250 0.348 0.008
0.250 0.992 0.340

***

*three*
ZrTiS3 (PBE, optimized geometry); density of states at the Fermi level = 8.8 states/eV/cell; total magnetic moment = 0.3 μB per formula unit
1.0
-0.536 -3.803 -3.078
-2.890 -2.253 3.287
-3.948 2.165 -1.987
S Zr Ti
3 1 1
Direct
0.000 0.500 0.000
0.000 0.000 0.500
0.500 0.000 0.000
0.000 0.000 0.000
0.500 0.500 0.500

***

Quick one: most stable of them? *two*

***

*one*
Tl3S2 (PBE, optimized geometry); density of states at the Fermi level = 5.3 states/eV/cell; total magnetic moment = 0.0 μB per formula unit
1.0
-5.692 4.352 -2.886
-2.875 -1.548 -7.001
-7.093 -2.893 -0.710
Tl S
6 4
Direct
0.036 0.750 0.750
0.750 0.464 0.750
0.464 0.036 0.750
0.250 0.536 0.250
0.536 0.964 0.250
0.964 0.250 0.250
0.864 0.864 0.409
0.364 0.364 0.909
0.136 0.136 0.591
0.636 0.636 0.091

***

*two*
Tl3S2 (PBE, optimized geometry); total magnetic moment = 0.0 μB per formula unit
1.0
4.070 0.417 -0.955
-1.247 10.733 -0.558
-2.311 -1.644 7.833
Tl S
6 4
Direct
0.678 0.816 0.076
0.452 0.124 0.852
0.678 0.817 0.579
0.525 0.187 0.425
0.864 0.483 0.265
0.866 0.513 0.764
0.092 0.998 0.492
0.108 0.050 0.009
0.285 0.654 0.185
0.453 0.358 0.852

***

Quick one: most stable of them? *two*

***

*one*
Tl4S (PBE, optimized geometry); density of states at the Fermi level = 1.9 states/eV/cell; total magnetic moment = 0.0 μB per formula unit
1.0
-2.016 1.891 -2.632
-0.491 -3.759 0.443
-9.294 2.236 8.724
Tl S
4 1
Direct
0.666 0.333 0.142
0.334 0.667 0.858
0.667 0.334 0.396
0.333 0.666 0.604
0.000 0.000 0.000

***

*two*
Tl4S (PBE, optimized geometry); density of states at the Fermi level = 3.5 states/eV/cell; total magnetic moment = 0.0 μB per formula unit
1.0
-5.009 -2.778 -0.217
2.723 -4.785 -1.595
0.592 -1.497 5.501
S Tl
1 4
Direct
0.500 0.500 0.500
0.000 0.000 0.000
0.500 0.000 0.500
0.000 0.500 0.500
0.500 0.500 0.000

***

Quick one: most stable of them? *one*

***

*one*
Tl4S3 (PBE, optimized geometry); total magnetic moment = 0.0 μB per formula unit
1.0
-0.658 0.346 -13.076
-2.378 -7.754 -0.086
-8.261 0.498 0.429
Tl S
16 12
Direct
0.776 0.461 0.706
0.276 0.039 0.294
0.224 0.539 0.294
0.724 0.961 0.706
0.791 0.586 0.196
0.291 0.914 0.804
0.209 0.414 0.804
0.709 0.086 0.196
0.535 0.722 0.091
0.035 0.778 0.909
0.465 0.278 0.909
0.965 0.222 0.091
0.497 0.273 0.469
0.997 0.227 0.531
0.503 0.727 0.531
0.003 0.773 0.469
0.837 0.920 0.960
0.337 0.580 0.040
0.163 0.080 0.040
0.663 0.420 0.960
0.748 0.758 0.504
0.248 0.742 0.496
0.252 0.242 0.496
0.752 0.258 0.504
0.972 0.457 0.760
0.472 0.043 0.240
0.028 0.543 0.240
0.528 0.957 0.760

***

*two*
Tl4S3 (PBE, optimized geometry); density of states at the Fermi level = 0.5 states/eV/cell; total magnetic moment = 0.0 μB per formula unit
1.0
-3.048 1.689 -2.589
-5.394 -2.187 4.924
4.472 5.966 2.268
Tl S
4 3
Direct
0.125 0.400 0.250
0.875 0.600 0.750
0.348 0.982 0.696
0.652 0.018 0.304
0.000 0.000 0.000
0.311 0.351 0.622
0.689 0.649 0.378

***

Quick one: most stable of them? *one*